A relaxed structure of TbPmCd3. Source: Alexandria via LeMat-Bulk, functional GGA-PBE.

a b c (Å): 15.0184 15.0184 5.0091
angles (deg): 90.00 90.00 166.62
Positions (direct):
Tb  0.2148  0.7852  0.7500
Tb  0.7852  0.2148  0.2500
Pm  0.0746  0.9254  0.2500
Pm  0.9254  0.0746  0.7500
Cd  0.3241  0.6759  0.7500
Cd  0.3782  0.6218  0.2500
Cd  0.4761  0.5239  0.2500
Cd  0.5239  0.4761  0.7500
Cd  0.6218  0.3782  0.7500
Cd  0.6759  0.3241  0.2500

Output
**Magnetization**: 0.000 μB/atom
**DFT total energy**: -13.7 eV/f.u.
**Energy of formation**: -0.31 eV per atom